A relaxed Li3HfOs crystal, computed with PBE.

Cell and atoms, written as extended XYZ:
```
5
Lattice="4.419 0.000 0.000 0.000 4.419 0.000 0.000 0.000 4.419" Properties=species:S:1:pos:R:3 pbc="T T T"
Li 0.000 0.000 2.209
Li 0.000 2.209 0.000
Li 2.209 0.000 0.000
Hf 2.209 2.209 2.209
Os 0.000 0.000 0.000
```

The calculation puts the energy above the most stable polymorph in this dataset at 0.000 eV per atom. The calculation puts the total magnetic moment at 0.0 Bohr magnetons per cell. The formation energy is 1.12 eV per atom.

=====

A relaxed RuPtSeN2 crystal, computed with PBE.

Cell and atoms, written as extended XYZ:
```
5
Lattice="3.694 0.000 0.000 0.000 3.694 0.000 0.000 0.000 8.108" Properties=species:S:1:pos:R:3 pbc="T T T"
Ru 0.000 0.000 0.000
Pt 1.847 1.847 4.054
Se 1.847 1.847 0.000
N 0.000 1.847 4.054
N 1.847 0.000 4.054
```

The calculation puts the energy above the most stable polymorph in this dataset at 0.533 eV per atom. The calculation puts the total magnetic moment at 2.3 Bohr magnetons per cell. The formation energy without anion corrections comes out at 1437 meV per atom.

=====

A relaxed Si2NiIr crystal, computed with PBE.

Cell and atoms, written as extended XYZ:
```
8
Lattice="8.097 0.000 0.000 0.000 3.295 0.000 -1.140 0.000 3.839" Properties=species:S:1:pos:R:3 pbc="T T T"
Si 0.000 0.000 0.000
Si 1.142 0.000 2.492
Si 4.048 1.648 0.000
Si 5.191 1.648 2.492
Ni 1.770 1.648 0.456
Ni 5.818 0.000 0.456
Ir 7.518 1.648 1.945
Ir 3.470 0.000 1.945
```

The calculation puts the total magnetic moment at 0.0 Bohr magnetons per cell. The formation energy without anion corrections comes out at -445 meV per atom.

=====

A relaxed AcYTlIr crystal, computed with PBE.

Cell and atoms, written as extended XYZ:
```
16
Lattice="7.556 0.000 0.000 0.000 7.556 0.000 0.000 0.000 7.556" Properties=species:S:1:pos:R:3 pbc="T T T"
Ac 0.000 0.000 0.000
Ac 0.000 3.778 3.778
Ac 3.778 0.000 3.778
Ac 3.778 3.778 0.000
Y 0.000 0.000 3.778
Y 0.000 3.778 0.000
Y 3.778 0.000 0.000
Y 3.778 3.778 3.778
Tl 1.889 1.889 5.667
Tl 1.889 5.667 1.889
Tl 5.667 1.889 1.889
Tl 5.667 5.667 5.667
Ir 1.889 1.889 1.889
Ir 1.889 5.667 5.667
Ir 5.667 1.889 5.667
Ir 5.667 5.667 1.889
```

The calculation puts the total magnetic moment at 0.0 Bohr magnetons per cell. The formation energy is -0.31 eV per atom.

=====

A relaxed HfTaFe3 crystal, computed with PBE.

Cell and atoms, written as extended XYZ:
```
5
Lattice="4.442 0.000 0.000 0.000 4.442 0.000 0.000 0.000 4.442" Properties=species:S:1:pos:R:3 pbc="T T T"
Hf 0.000 0.000 0.000
Ta 2.221 2.221 2.221
Fe 0.000 2.221 2.221
Fe 2.221 0.000 2.221
Fe 2.221 2.221 0.000
```

The calculation puts the energy above the most stable polymorph in this dataset at 0.000 eV per atom. The calculation puts the total magnetic moment at 2.6 Bohr magnetons per cell. The formation energy is 1.09 eV per atom.

=====

A relaxed YV2Ni2 crystal, computed with PBE.

Cell and atoms, written as extended XYZ:
```
10
Lattice="7.485 0.000 0.000 0.000 7.485 0.000 0.000 0.000 2.674" Properties=species:S:1:pos:R:3 pbc="T T T"
Y 0.000 0.000 0.000
Y 3.742 3.742 0.000
V 0.834 2.909 0.000
V 2.909 6.651 0.000
V 4.576 0.834 0.000
V 6.651 4.576 0.000
Ni 1.341 5.083 1.337
Ni 2.401 1.341 1.337
Ni 5.083 6.144 1.337
Ni 6.144 2.401 1.337
```

The calculation puts the energy above the most stable polymorph in this dataset at 0.146 eV per atom. The calculation puts the total magnetic moment at 0.0 Bohr magnetons per cell. The formation energy is 0.09 eV per atom.